Record 1
First-principles (PBE) data for a relaxed Ba12Pu3H5 crystal, as listed in Alexandria.

- Calculated density: 4.887 g cm⁻³
- Uncorrected energy: -4.00 eV/atom

Unit cell a=18.6457 b=18.6457 c=18.6457 alpha=90.00 beta=90.00 gamma=90.00
Last column: nearest neighbours and their distance in Å.
Space group Ia-3d (No. 230)
Asymmetric unit:
1 Ba 0.0413 0.0484 0.6494 x96  1 H 2.60
2 Pu 0.0000 0.2500 0.1250 x24  8 Ba 3.73-3.86
3 H 0.0000 0.0000 0.0000 x16  6 Ba 3.03
4 H 0.0000 0.2500 0.3750 x24  4 Ba 2.60

***

Record 2
First-principles (PBE) data for a relaxed AcAl2CdHg crystal, as listed in Alexandria.

- ΔE_f: -350.6 meV/atom
- Calculated density: 8.120 g cm⁻³

Unit cell a=4.6218 b=4.6218 c=11.3725 alpha=90.00 beta=90.00 gamma=90.00
Last column: nearest neighbours and their distance in Å.
Space group I-4m2 (No. 119)
Asymmetric unit:
1 Ac 0.0000 0.0000 0.0000 x2  8 Al 3.51, 4 Hg 3.66, 4 Cd 3.66
2 Al 0.0000 0.0000 0.3867 x4  1 Al 2.58, 2 Cd 2.79, 2 Hg 2.79
3 Cd 0.0000 0.5000 0.7500 x2  4 Al 2.79
4 Hg 0.0000 0.5000 0.2500 x2  4 Al 2.79

***

Record 3
First-principles (PBE) data for a relaxed HfCo3Si3 crystal, as listed in Alexandria.

- Calculated density: 6.556 g cm⁻³
- Energy relative to the elements, uncorrected: 0.17 eV per atom

Unit cell a=6.0610 b=6.0610 c=6.0610 alpha=90.00 beta=90.00 gamma=90.00
Last column: nearest neighbours and their distance in Å.
Space group Pm-3n (No. 223)
Asymmetric unit:
1 Hf 0.0000 0.0000 0.0000 x2  12 Co 3.39, 12 Si 3.39
2 Co 0.0000 0.2500 0.5000 x6  4 Si 2.14
3 Si 0.0000 0.5000 0.2500 x6  4 Co 2.14

***

Record 4
First-principles (PBE) data for a relaxed CaLuSiPd crystal, as listed in Alexandria.

- Calculated density: 6.875 g cm⁻³
- Energy relative to the elements, uncorrected: -0.62 eV per atom

Unit cell a=6.9638 b=6.9638 c=6.9638 alpha=90.00 beta=90.00 gamma=90.00
Last column: nearest neighbours and their distance in Å.
Space group F-43m (No. 216)
Asymmetric unit:
1 Ca 0.0000 0.0000 0.0000 x4  4 Si 3.02, 4 Pd 3.02
2 Lu 0.0000 0.0000 0.5000 x4  4 Pd 3.02, 4 Si 3.02
3 Si 0.2500 0.2500 0.7500 x4  4 Ca 3.02, 4 Lu 3.02
4 Pd 0.2500 0.2500 0.2500 x4  4 Ca 3.02, 4 Lu 3.02

***

Record 5
First-principles (PBE) data for a relaxed KCaSi2 crystal, as listed in Alexandria.

- Calculated density: 2.118 g cm⁻³
- Energy relative to the elements, uncorrected: 0.38 eV per atom

Unit cell a=3.4505 b=3.4505 c=30.8755 alpha=90.00 beta=90.00 gamma=120.00
Last column: nearest neighbours and their distance in Å.
Space group R-3m (No. 166, hexagonal axes)
Asymmetric unit:
1 K 0.0000 0.0000 0.0000 x3  6 Si 3.41, 6 K 3.45
2 Ca 0.0000 0.0000 0.5000 x3  6 Si 3.11, 6 Ca 3.45
3 Si 0.0000 0.0000 0.2439 x6  3 Ca 3.11, 3 K 3.41, 6 Si 3.45

***

Record 6
First-principles (PBE) data for a relaxed K3ZrBi crystal, as listed in Alexandria.

- ΔE_f: 1127.1 meV/atom
- Calculated density: 2.670 g cm⁻³

Unit cell a=6.3800 b=6.3800 c=6.3800 alpha=90.00 beta=90.00 gamma=90.00
Last column: nearest neighbours and their distance in Å.
Space group Pm-3m (No. 221)
Asymmetric unit:
1 K 0.0000 0.0000 0.5000 x3  2 Zr 3.19
2 Zr 0.0000 0.0000 0.0000 x1  6 K 3.19
3 Bi 0.5000 0.5000 0.5000 x1  12 K 4.51